Entry from Alexandria: AcTbPuPb after structural relaxation (PBE).

Cell and atoms, written as POSCAR:
```
AcTbPuPb
1.0
0.000 3.971 3.971
3.971 0.000 3.971
3.971 3.971 0.000
Ac Tb Pu Pb
1 1 1 1
direct
0.000 0.000 0.000
0.250 0.250 0.250
0.750 0.750 0.750
0.500 0.500 0.500
```



Entry from Alexandria: AcTmPuPb after structural relaxation (PBE).

Cell and atoms, written as POSCAR:
```
AcTmPuPb
1.0
0.000 3.950 3.950
3.950 0.000 3.950
3.950 3.950 0.000
Ac Tm Pu Pb
1 1 1 1
direct
0.000 0.000 0.000
0.250 0.250 0.250
0.750 0.750 0.750
0.500 0.500 0.500
```



Entry from Alexandria: AcPuZnPb after structural relaxation (PBE).

Cell and atoms, written as POSCAR:
```
AcPuZnPb
1.0
0.000 3.924 3.924
3.924 0.000 3.924
3.924 3.924 0.000
Ac Pu Zn Pb
1 1 1 1
direct
0.000 0.000 0.000
0.500 0.500 0.500
0.750 0.750 0.750
0.250 0.250 0.250
```



Calculated DOS at the Fermi energy in order - 3.5710 3.5331 2.6558 states/eV per atom
Calculated ΔH_f (0 K) in order - 0.062 0.089 -0.163 eV per atom
Calculated electronic total energy in order - -26.53 -26.27 -24.08 eV per cell